Material: KYMo2
Method: DFT, GGA-PBE
State: optimized geometry

a b c (Å): 11.279 11.279 11.279
angles (deg): 158.91 158.91 29.99
Element x y z (fractional)
K: 0.000 0.000 0.000
K: 0.750 0.250 0.500
Y: 0.250 0.750 0.500
Y: 0.500 0.500 0.000
Mo: 0.182 0.625 0.057
Mo: 0.375 0.432 0.557
Mo: 0.568 0.125 0.943
Mo: 0.875 0.818 0.443

Properties
The volume is 23.2 Å³ per atom. As for the space-group type: No. 122. The calculation puts the formation enthalpy at 0 K at 1483 meV/atom. Its energy above the most stable polymorph in this dataset is 21.905 kcal/mol of atoms. For the density of states at the Fermi level, the calculation gives 1.075 states/eV/atom. For the theoretical density, the calculation gives 5.724 g/cm³.

***

Material: MgSc2ZnC
Method: DFT, GGA-PBE
State: optimized geometry

a b c (Å): 4.568 4.568 4.195
angles (deg): 90.00 90.00 90.00
Element x y z (fractional)
Mg: 0.000 0.000 0.000
Sc: 0.000 0.500 0.500
Sc: 0.500 0.000 0.500
Zn: 0.500 0.500 0.000
C: 0.500 0.500 0.500

Properties
The volume is 17.5 Å³ per atom. As for the space-group type: No. 123. The calculation puts the formation enthalpy at 0 K at -129 meV/atom. Its energy above the most stable polymorph in this dataset is 3.036 kcal/mol of atoms. For the density of states at the Fermi level, the calculation gives 0.409 states/eV/atom. For the theoretical density, the calculation gives 3.635 g/cm³.

***

Material: NpTeBr2O6
Method: DFT, GGA-PBE
State: optimized geometry

a b c (Å): 5.443 5.815 6.686
angles (deg): 74.55 88.61 89.67
Element x y z (fractional)
Np: 0.000 0.000 0.000
Te: 0.500 0.500 0.000
Br: 0.360 0.645 0.605
Br: 0.640 0.355 0.395
O: 0.101 0.072 0.734
O: 0.258 0.700 0.081
O: 0.266 0.243 0.063
O: 0.734 0.757 0.937
O: 0.742 0.300 0.919
O: 0.899 0.928 0.266

Properties
The volume is 20.4 Å³ per atom. As for the space-group type: No. 2. As for the uncorrected formation energy: -1260 meV/atom. For the theoretical density, the calculation gives 5.052 g/cm³.

***

Material: NaLuCdPt
Method: DFT, GGA-PBE
State: optimized geometry

a b c (Å): 4.869 4.869 4.869
angles (deg): 60.00 60.00 60.00
Element x y z (fractional)
Na: 0.000 0.000 0.000
Lu: 0.750 0.750 0.750
Cd: 0.250 0.250 0.250
Pt: 0.500 0.500 0.500

Properties
The volume is 20.4 Å³ per atom. As for the space-group type: No. 216. The calculation puts the formation enthalpy at 0 K at -444 meV/atom. For the density of states at the Fermi level, the calculation gives 0.827 states/eV/atom. For the theoretical density, the calculation gives 10.282 g/cm³.

***

Material: Nd3Tm2ThAs6
Method: DFT, GGA-PBE
State: optimized geometry

a b c (Å): 7.272 7.272 7.298
angles (deg): 99.60 99.60 119.95
Element x y z (fractional)
Nd: 0.000 0.000 0.000
Nd: 0.334 0.666 0.000
Nd: 0.666 0.334 0.000
Tm: 0.167 0.833 0.500
Tm: 0.833 0.167 0.500
Th: 0.500 0.500 0.500
As: 0.082 0.420 0.259
As: 0.241 0.241 0.739
As: 0.420 0.082 0.259
As: 0.580 0.918 0.741
As: 0.759 0.759 0.261
As: 0.918 0.580 0.741

Properties
The volume is 26.3 Å³ per atom. As for the space-group type: No. 12. The calculation puts the formation enthalpy at 0 K at -1498 meV/atom. For the density of states at the Fermi level, the calculation gives 0.288 states/eV/atom. For the theoretical density, the calculation gives 7.648 g/cm³.

***

Material: TbSmGdEr
Method: DFT, GGA-PBE
State: optimized geometry

a b c (Å): 5.687 5.687 5.687
angles (deg): 60.00 60.00 60.00
Element x y z (fractional)
Tb: 0.000 0.000 0.000
Sm: 0.250 0.250 0.250
Gd: 0.750 0.750 0.750
Er: 0.500 0.500 0.500

Properties
The volume is 32.5 Å³ per atom. As for the space-group type: No. 216. The calculation puts the formation enthalpy at 0 K at 118 meV/atom. For the density of states at the Fermi level, the calculation gives 2.148 states/eV/atom. For the theoretical density, the calculation gives 8.093 g/cm³.

***

Material: LiTb2Pt
Method: DFT, GGA-PBE
State: optimized geometry

a b c (Å): 4.897 4.897 3.688
angles (deg): 90.00 90.00 90.00
Element x y z (fractional)
Li: 0.000 0.000 0.000
Tb: 0.000 0.500 0.500
Tb: 0.500 0.000 0.500
Pt: 0.500 0.500 0.000

Properties
The volume is 22.1 Å³ per atom. As for the space-group type: No. 123. The calculation puts the formation enthalpy at 0 K at -625 meV/atom. For the density of states at the Fermi level, the calculation gives 0.553 states/eV/atom. For the theoretical density, the calculation gives 9.760 g/cm³.

***

Material: Ca2In3Hg2
Method: DFT, GGA-PBE
State: optimized geometry

a b c (Å): 6.057 6.057 7.494
angles (deg): 97.64 97.64 44.52
Element x y z (fractional)
Ca: 0.113 0.113 0.323
Ca: 0.887 0.887 0.677
In: 0.198 0.198 0.873
In: 0.500 0.500 0.000
In: 0.802 0.802 0.127
Hg: 0.394 0.394 0.361
Hg: 0.606 0.606 0.639

Properties
The volume is 27.2 Å³ per atom. As for the space-group type: No. 12. The calculation puts the formation enthalpy at 0 K at -349 meV/atom. Its energy above the most stable polymorph in this dataset is 0.000 kcal/mol of atoms. For the density of states at the Fermi level, the calculation gives 0.494 states/eV/atom. For the theoretical density, the calculation gives 7.189 g/cm³.

***

Material: VReSe2Br
Method: DFT, GGA-PBE
State: optimized geometry

a b c (Å): 4.799 4.799 5.384
angles (deg): 90.00 90.00 90.00
Element x y z (fractional)
V: 0.000 0.000 0.000
Re: 0.500 0.500 0.500
Se: 0.000 0.500 0.500
Se: 0.500 0.000 0.500
Br: 0.500 0.500 0.000

Properties
The volume is 24.8 Å³ per atom. As for the space-group type: No. 123. As for the uncorrected formation energy: 770 meV/atom. Its energy above the most stable polymorph in this dataset is 0.000 kcal/mol of atoms. For the density of states at the Fermi level, the calculation gives 1.252 states/eV/atom. For the theoretical density, the calculation gives 6.361 g/cm³.

***

Material: Sn3AsIr
Method: DFT, GGA-PBE
State: optimized geometry

a b c (Å): 5.124 5.124 5.124
angles (deg): 90.00 90.00 90.00
Element x y z (fractional)
Sn: 0.000 0.000 0.500
Sn: 0.000 0.500 0.000
Sn: 0.500 0.000 0.000
As: 0.500 0.500 0.500
Ir: 0.000 0.000 0.000

Properties
The volume is 26.9 Å³ per atom. As for the space-group type: No. 221. The calculation puts the formation enthalpy at 0 K at 149 meV/atom. Its energy above the most stable polymorph in this dataset is 0.000 kcal/mol of atoms. For the density of states at the Fermi level, the calculation gives 0.240 states/eV/atom. For the theoretical density, the calculation gives 7.692 g/cm³.

***

Material: UHgBi2
Method: DFT, GGA-PBE
State: optimized geometry

a b c (Å): 5.046 5.046 4.253
angles (deg): 90.00 90.00 90.00
Element x y z (fractional)
U: 0.000 0.000 0.000
Hg: 0.500 0.500 0.000
Bi: 0.000 0.500 0.500
Bi: 0.500 0.000 0.500

Properties
The volume is 27.1 Å³ per atom. As for the space-group type: No. 123. The calculation puts the formation enthalpy at 0 K at 13 meV/atom. Its energy above the most stable polymorph in this dataset is 0.000 kcal/mol of atoms. For the density of states at the Fermi level, the calculation gives 1.709 states/eV/atom. For the theoretical density, the calculation gives 13.138 g/cm³.

***

Material: ZnMoPb
Method: DFT, GGA-PBE
State: optimized geometry

a b c (Å): 7.497 7.412 2.992
angles (deg): 80.02 76.83 23.15
Element x y z (fractional)
Zn: 0.000 0.000 0.000
Mo: 0.622 0.622 0.378
Pb: 0.284 0.284 0.716

Properties
The volume is 21.1 Å³ per atom. As for the space-group type: No. 42. The calculation puts the formation enthalpy at 0 K at 573 meV/atom. Its energy above the most stable polymorph in this dataset is 0.384 kcal/mol of atoms. For the density of states at the Fermi level, the calculation gives 0.672 states/eV/atom. For the theoretical density, the calculation gives 9.659 g/cm³.

***

Material: ScAlCd
Method: DFT, GGA-PBE
State: optimized geometry

a b c (Å): 8.153 8.153 8.153
angles (deg): 32.83 32.83 32.83
Element x y z (fractional)
Sc: 0.070 0.070 0.070
Sc: 0.930 0.930 0.930
Al: 0.192 0.192 0.192
Al: 0.808 0.808 0.808
Cd: 0.317 0.317 0.317
Cd: 0.683 0.683 0.683

Properties
The volume is 23.6 Å³ per atom. As for the space-group type: No. 166. The calculation puts the formation enthalpy at 0 K at -72 meV/atom. For the density of states at the Fermi level, the calculation gives 0.261 states/eV/atom. For the theoretical density, the calculation gives 4.321 g/cm³.

***

Material: Ba2LiZn9
Method: DFT, GGA-PBE
State: optimized geometry

a b c (Å): 9.684 9.684 9.684
angles (deg): 34.57 34.57 34.57
Element x y z (fractional)
Ba: 0.139 0.139 0.139
Ba: 0.861 0.861 0.861
Li: 0.000 0.000 0.000
Zn: 0.073 0.577 0.577
Zn: 0.335 0.335 0.335
Zn: 0.423 0.423 0.927
Zn: 0.423 0.927 0.423
Zn: 0.500 0.500 0.500
Zn: 0.577 0.073 0.577
Zn: 0.577 0.577 0.073
Zn: 0.665 0.665 0.665
Zn: 0.927 0.423 0.423

Properties
The volume is 21.7 Å³ per atom. As for the space-group type: No. 166. The calculation puts the formation enthalpy at 0 K at -46 meV/atom. For the density of states at the Fermi level, the calculation gives 0.375 states/eV/atom. For the theoretical density, the calculation gives 5.540 g/cm³.

***

Material: KZr5
Method: DFT, GGA-PBE
State: optimized geometry

a b c (Å): 6.813 6.813 7.741
angles (deg): 104.66 104.66 26.54
Element x y z (fractional)
K: 0.000 0.000 0.000
Zr: 0.260 0.260 0.033
Zr: 0.320 0.320 0.649
Zr: 0.616 0.616 0.679
Zr: 0.689 0.689 0.341
Zr: 0.930 0.930 0.389

Properties
The volume is 25.8 Å³ per atom. As for the space-group type: No. 8. The calculation puts the formation enthalpy at 0 K at 449 meV/atom. Its energy above the most stable polymorph in this dataset is 1.046 kcal/mol of atoms. For the density of states at the Fermi level, the calculation gives 1.109 states/eV/atom. For the theoretical density, the calculation gives 5.305 g/cm³.

***

Material: Sm2YHo5
Method: DFT, GGA-PBE
State: optimized geometry

a b c (Å): 6.724 9.205 9.210
angles (deg): 86.10 72.19 72.23
Element x y z (fractional)
Sm: 0.000 0.084 0.166
Sm: 0.000 0.916 0.834
Sm: 0.496 0.334 0.418
Sm: 0.504 0.666 0.582
Y: 0.250 0.708 0.291
Y: 0.750 0.292 0.709
Ho: 0.000 0.416 0.333
Ho: 0.000 0.584 0.667
Ho: 0.249 0.209 0.794
Ho: 0.251 0.041 0.458
Ho: 0.251 0.541 0.958
Ho: 0.498 0.166 0.085
Ho: 0.502 0.834 0.915
Ho: 0.749 0.459 0.042
Ho: 0.749 0.959 0.542
Ho: 0.751 0.791 0.206

Properties
The volume is 32.3 Å³ per atom. As for the space-group type: No. 2. The calculation puts the formation enthalpy at 0 K at 12 meV/atom. Its energy above the most stable polymorph in this dataset is 0.000 kcal/mol of atoms. For the density of states at the Fermi level, the calculation gives 1.851 states/eV/atom. For the theoretical density, the calculation gives 7.806 g/cm³.

***

Material: NpZnHg2
Method: DFT, GGA-PBE
State: optimized geometry

a b c (Å): 3.211 3.211 8.435
angles (deg): 90.00 90.00 90.00
Element x y z (fractional)
Np: 0.000 0.000 0.000
Zn: 0.000 0.000 0.500
Hg: 0.500 0.500 0.282
Hg: 0.500 0.500 0.718

Properties
The volume is 21.7 Å³ per atom. As for the space-group type: No. 123. The calculation puts the formation enthalpy at 0 K at 152 meV/atom. Its energy above the most stable polymorph in this dataset is 0.000 kcal/mol of atoms. For the density of states at the Fermi level, the calculation gives 1.540 states/eV/atom. For the theoretical density, the calculation gives 13.431 g/cm³.